(1)
VASP calculation (PBE) on an optimized crystal structure of LiAuF6.

Summary:
ΔE_f (raw) = -1.4424 eV/atom
energy above the lowest structure with this stoichiometry = 0 meV per atom

a = 5.4916 Å, b = 5.4916 Å, c = 5.4916 Å
α = 55.75°, β = 55.75°, γ = 55.75°
Sites, in units of the cell vectors:
1 Li 0.0000 0.0000 0.0000
2 Au 0.5000 0.5000 0.5000
3 F 0.1198 0.7376 0.3978
4 F 0.2624 0.6022 0.8802
5 F 0.3978 0.1198 0.7376
6 F 0.6022 0.8802 0.2624
7 F 0.7376 0.3978 0.1198
8 F 0.8802 0.2624 0.6022

(2)
VASP calculation (PBE) on an optimized crystal structure of Li3AuF6.

Summary:
ΔE_f (raw) = -1.8536 eV/atom

a = 5.7621 Å, b = 5.7621 Å, c = 5.7621 Å
α = 60.00°, β = 60.00°, γ = 60.00°
Sites, in units of the cell vectors:
1 Li 0.0000 0.0000 0.0000
2 Li 0.2500 0.2500 0.2500
3 Li 0.7500 0.7500 0.7500
4 Au 0.5000 0.5000 0.5000
5 F 0.2406 0.2406 0.7594
6 F 0.2406 0.7594 0.2406
7 F 0.2406 0.7594 0.7594
8 F 0.7594 0.2406 0.2406
9 F 0.7594 0.2406 0.7594
10 F 0.7594 0.7594 0.2406

| no. | calculated total energy (eV per atom) |
| --- | --- |
| 1 | -3.495 |
| 2 | -3.878 |